Run i
## Pr2ReC2 (PBE)

Data for Pr2ReC2 after structural relaxation.

Calculated values
- ρ: 8.67 g cm⁻³
- V: 189 Å³ per cell

Cell: 5.4415 6.4119 6.9700 Å, 61.85 67.02 64.89°
Fractional positions:
1 Pr 0.6815 0.2682 0.3687
2 Pr 0.3185 0.7318 0.6313
3 Pr 0.0359 0.7148 0.2133
4 Pr 0.9641 0.2852 0.7867
5 Re 0.3640 0.1409 0.1311
6 Re 0.6360 0.8591 0.8689
7 C 0.1844 0.2480 0.3833
8 C 0.8156 0.7520 0.6167
9 C 0.4944 0.2254 0.7857
10 C 0.5056 0.7746 0.2143

=====

Run ii
## Pr2ReC2 (PBE)

Data for Pr2ReC2 after structural relaxation.

Calculated values
- ρ: 8.68 g cm⁻³
- V: 377 Å³ per cell

Cell: 5.4127 6.7504 10.3079 Å, 90.00 90.00 90.00°
Fractional positions:
1 Pr 0.7500 0.5259 0.7870
2 Pr 0.2500 0.9741 0.2870
3 Pr 0.7500 0.6888 0.4500
4 Pr 0.2500 0.8112 0.9500
5 Pr 0.7500 0.1888 0.0500
6 Pr 0.2500 0.3112 0.5500
7 Pr 0.2500 0.4741 0.2130
8 Pr 0.7500 0.0259 0.7130
9 Re 0.2500 0.2693 0.8563
10 Re 0.2500 0.7693 0.6437
11 Re 0.7500 0.2307 0.3563
12 Re 0.7500 0.7307 0.1437
13 C 0.2500 0.6893 0.4653
14 C 0.2500 0.5330 0.7580
15 C 0.7500 0.4670 0.2420
16 C 0.7500 0.8107 0.9653
17 C 0.2500 0.0330 0.7420
18 C 0.2500 0.1893 0.0347
19 C 0.7500 0.3107 0.5347
20 C 0.7500 0.9670 0.2580

=====

Most stable structure, least stable structure: run ii, run i.

=====

Run i
## PrReC2 (PBE)

Data for PrReC2 after structural relaxation.

Calculated values
- ρ: 9.80 g cm⁻³
- V: 59 Å³ per cell

Cell: 3.2017 3.2075 6.2215 Å, 104.98 104.93 89.99°
Fractional positions:
1 Pr 0.2214 0.8824 0.2288
2 Re 0.4716 0.6309 0.7285
3 C 0.8686 0.5279 0.5228
4 C 0.5736 0.2335 0.9326

=====

Run ii
## PrReC2 (PBE)

Data for PrReC2 after structural relaxation.

Calculated values
- ρ: 10.85 g cm⁻³
- V: 54 Å³ per cell

Cell: 3.2981 3.2981 6.0157 Å, 74.09 74.09 60.00°
Fractional positions:
1 Pr 0.5000 0.5000 0.5000
2 Re 0.0000 0.0000 0.0000
3 C 0.7314 0.7314 0.8058
4 C 0.2686 0.2686 0.1942

=====

Most stable structure, least stable structure: run ii, run i.

=====

Run i
## PrRhC (PBE)

Data for PrRhC after structural relaxation.

Calculated values
- ρ: 7.78 g cm⁻³
- V: 109 Å³ per cell

Cell: 3.7663 3.7663 7.6982 Å, 90.00 90.00 90.00°
Fractional positions:
1 Pr 0.0000 0.5000 0.6744
2 Pr 0.5000 0.0000 0.3256
3 C 0.0000 0.5000 0.3354
4 C 0.5000 0.0000 0.6646
5 Rh 0.5000 0.0000 0.9090
6 Rh 0.0000 0.5000 0.0910

=====

Run ii
## PrRhC (PBE)

Data for PrRhC after structural relaxation.

Calculated values
- ρ: 8.30 g cm⁻³
- V: 51 Å³ per cell

Cell: 4.8069 3.5070 3.5070 Å, 120.00 90.00 90.00°
Fractional positions:
1 Pr 0.7229 0.3333 0.6667
2 C 0.0803 0.6667 0.3333
3 Rh 0.1968 0.0000 0.0000

=====

Most stable structure, least stable structure: run ii, run i.